{
  "formula": "TmThTcIr",
  "functional": "PBE",
  "state": "optimized geometry",
  "cell": [[4.920, 0.000, 0.000], [2.460, 4.261, 0.000], [2.460, 1.420, 4.018]],
  "species": ["Tc", "Th", "Ir", "Tm"],
  "fractional_positions": [[0.750, 0.750, 0.750], [0.500, 0.500, 0.500], [0.250, 0.250, 0.250], [0.000, 0.000, 0.000]],
  "magnetic_moment_mub_per_cell": 0.00,
  "delta_e_f_ev_per_atom": -0.47
}